The following is a PBE calculation of PmTmTeO6 after structural relaxation, from Alexandria via LeMat-Bulk.

Lattice parameters (Å, degrees): 5.5329 5.5329 9.8269 90.00 90.00 120.00
With the nearest neighbours (Å) after each atom.
Atoms (fractional coordinates):
Pm  0.0000  0.0000  0.0000  6 O 2.41
Pm  0.0000  0.0000  0.5000  6 O 2.41
Tm  0.3333  0.6667  0.2500  6 O 2.23
Tm  0.6667  0.3333  0.7500  6 O 2.23
Te  0.3333  0.6667  0.7500  6 O 1.96
Te  0.6667  0.3333  0.2500  6 O 1.96
O  0.0377  0.3761  0.6383  1 Te 1.96
O  0.0377  0.6616  0.8617  1 Te 1.96
O  0.3384  0.3761  0.8617  1 Te 1.96
O  0.3384  0.9623  0.6383  1 Te 1.96
O  0.3761  0.0377  0.1383  1 Te 1.96
O  0.3761  0.3384  0.3617  1 Te 1.96
O  0.6239  0.6616  0.6383  1 Te 1.96
O  0.6239  0.9623  0.8617  1 Te 1.96
O  0.6616  0.0377  0.3617  1 Te 1.96
O  0.6616  0.6239  0.1383  1 Te 1.96
O  0.9623  0.3384  0.1383  1 Te 1.96
O  0.9623  0.6239  0.3617  1 Te 1.96

Calculated values
**Calculated total energy**: -64.4 eV per formula unit

***

The following is a PBE calculation of Ho7RhBr12 after structural relaxation, from Alexandria via LeMat-Bulk.

Lattice parameters (Å, degrees): 9.2372 9.2372 9.2372 106.70 106.70 106.70
With the nearest neighbours (Å) after each atom.
Atoms (fractional coordinates):
Ho  0.0000  0.0000  0.0000  6 Br 2.80
Ho  0.1939  0.4807  0.4010  1 Rh 2.64, 1 Br 2.90
Ho  0.4010  0.1939  0.4807  1 Rh 2.64, 1 Br 2.90
Ho  0.4807  0.4010  0.1939  1 Rh 2.64, 1 Br 2.90
Ho  0.5193  0.5990  0.8061  1 Rh 2.64, 1 Br 2.90
Ho  0.5990  0.8061  0.5193  1 Rh 2.64, 1 Br 2.90
Ho  0.8061  0.5193  0.5990  1 Rh 2.64, 1 Br 2.90
Rh  0.5000  0.5000  0.5000  6 Ho 2.64
Br  0.0381  0.1155  0.3302  3 Ho 2.80-3.05
Br  0.1155  0.3302  0.0381  3 Ho 2.80-3.05
Br  0.1727  0.5699  0.7192  3 Ho 2.90-3.09
Br  0.2808  0.8273  0.4301  3 Ho 2.90-3.09
Br  0.3302  0.0381  0.1155  3 Ho 2.80-3.05
Br  0.4301  0.2808  0.8273  3 Ho 2.90-3.09
Br  0.5699  0.7192  0.1727  3 Ho 2.90-3.09
Br  0.6698  0.9619  0.8845  3 Ho 2.80-3.05
Br  0.7192  0.1727  0.5699  3 Ho 2.90-3.09
Br  0.8273  0.4301  0.2808  3 Ho 2.90-3.09
Br  0.8845  0.6698  0.9619  3 Ho 2.80-3.05
Br  0.9619  0.8845  0.6698  3 Ho 2.80-3.05

Calculated values
**Calculated total energy**: -91.2 eV per formula unit

***

The following is a PBE calculation of Ce4Se3S after structural relaxation, from Alexandria via LeMat-Bulk.

Lattice parameters (Å, degrees): 7.1989 7.1989 4.1483 90.00 90.00 109.41
With the nearest neighbours (Å) after each atom.
Atoms (fractional coordinates):
Ce  0.2383  0.2383  0.5000  2 S 2.87, 4 Se 2.94-3.01
Ce  0.2440  0.7560  0.0000  1 S 2.87, 5 Se 2.94-3.01
Ce  0.7560  0.2440  0.0000  1 S 2.87, 5 Se 2.94-3.01
Ce  0.7617  0.7617  0.5000  2 S 2.87, 4 Se 2.94-3.01
Se  0.0000  0.5000  0.5000  6 Ce 2.94
Se  0.5000  0.0000  0.5000  6 Ce 2.94
Se  0.5000  0.5000  0.0000  6 Ce 3.01
S  0.0000  0.0000  0.0000  6 Ce 2.87

Calculated values
**Calculated total energy**: -53.2 eV per formula unit

***

The following is a PBE calculation of Pr2InNi3Pt12 after structural relaxation, from Alexandria via LeMat-Bulk.

Lattice parameters (Å, degrees): 7.8896 7.8896 7.8896 62.56 62.56 62.56
With the nearest neighbours (Å) after each atom.
Atoms (fractional coordinates):
Pr  0.1095  0.1095  0.1095  6 Pt 2.82-2.86
Pr  0.8905  0.8905  0.8905  6 Pt 2.82-2.86
In  0.5000  0.5000  0.5000  6 Pt 2.62
Ni  0.0000  0.5000  0.5000  6 Pt 2.42-2.43
Ni  0.5000  0.0000  0.5000  6 Pt 2.42-2.43
Ni  0.5000  0.5000  0.0000  6 Pt 2.42-2.43
Pt  0.1069  0.6388  0.6388  1 Ni 2.43, 1 In 2.62
Pt  0.1359  0.1359  0.6114  2 Ni 2.42
Pt  0.1359  0.6115  0.1359  2 Ni 2.42
Pt  0.3612  0.3612  0.8931  1 Ni 2.43, 1 In 2.62
Pt  0.3612  0.8931  0.3612  1 Ni 2.43, 1 In 2.62
Pt  0.3886  0.8641  0.8641  2 Ni 2.42
Pt  0.6115  0.1359  0.1359  2 Ni 2.42
Pt  0.6388  0.1069  0.6388  1 Ni 2.43, 1 In 2.62
Pt  0.6388  0.6388  0.1069  1 Ni 2.43, 1 In 2.62
Pt  0.8641  0.3886  0.8641  2 Ni 2.42
Pt  0.8641  0.8641  0.3886  2 Ni 2.42
Pt  0.8931  0.3612  0.3612  1 Ni 2.43, 1 In 2.62

Calculated values
**Energy of formation from the pure elements**: -24 kJ/mol of formula units

***

The following is a PBE calculation of DyY6Tm8 after structural relaxation, from Alexandria via LeMat-Bulk.

Lattice parameters (Å, degrees): 8.5567 8.5567 8.5567 63.27 63.27 63.27
With the nearest neighbours (Å) after each atom.
Atoms (fractional coordinates):
Dy  0.0000  0.0000  0.0000  6 Y 3.39, 6 Tm 3.51
Y  0.1127  0.5406  0.2221  4 Tm 3.36-3.69, 1 Dy 3.39, 4 Y 3.46-3.70
Y  0.2221  0.1127  0.5406  4 Tm 3.36-3.69, 1 Dy 3.39, 4 Y 3.46-3.70
Y  0.4594  0.7779  0.8873  4 Tm 3.36-3.69, 1 Dy 3.39, 4 Y 3.46-3.70
Y  0.5406  0.2221  0.1127  4 Tm 3.36-3.69, 1 Dy 3.39, 4 Y 3.46-3.70
Y  0.7779  0.8873  0.4594  4 Tm 3.36-3.69, 1 Dy 3.39, 4 Y 3.46-3.70
Y  0.8873  0.4594  0.7779  4 Tm 3.36-3.69, 1 Dy 3.39, 4 Y 3.46-3.70
Tm  0.1097  0.7208  0.7426  3 Y 3.37-3.69, 5 Tm 3.37-3.40, 1 Dy 3.51
Tm  0.2574  0.8903  0.2792  3 Y 3.37-3.69, 5 Tm 3.37-3.40, 1 Dy 3.51
Tm  0.2792  0.2574  0.8903  3 Y 3.37-3.69, 5 Tm 3.37-3.40, 1 Dy 3.51
Tm  0.4240  0.4240  0.4240  4 Tm 3.10-3.39, 3 Y 3.36
Tm  0.5760  0.5760  0.5760  4 Tm 3.10-3.39, 3 Y 3.36
Tm  0.7208  0.7426  0.1097  3 Y 3.37-3.69, 5 Tm 3.37-3.40, 1 Dy 3.51
Tm  0.7426  0.1097  0.7208  3 Y 3.37-3.69, 5 Tm 3.37-3.40, 1 Dy 3.51
Tm  0.8903  0.2792  0.2574  3 Y 3.37-3.69, 5 Tm 3.37-3.40, 1 Dy 3.51

Calculated values
**Energy of formation from the pure elements**: 183 kJ/mol of formula units
**Relative energy among the computed polymorphs**: 0.000 eV/atom

***

The following is a PBE calculation of GdCo2 after structural relaxation, from Alexandria via LeMat-Bulk.

Lattice parameters (Å, degrees): 5.0953 5.0953 5.0953 60.00 60.00 60.00
With the nearest neighbours (Å) after each atom.
Atoms (fractional coordinates):
Gd  0.1250  0.1250  0.1250  12 Co 2.99, 4 Gd 3.12
Gd  0.8750  0.8750  0.8750  12 Co 2.99, 4 Gd 3.12
Co  0.0000  0.5000  0.5000  6 Co 2.55
Co  0.5000  0.0000  0.5000  6 Co 2.55
Co  0.5000  0.5000  0.0000  6 Co 2.55
Co  0.5000  0.5000  0.5000  6 Co 2.55

Calculated values
**Energy of formation from the pure elements**: -51 kJ/mol of formula units
**Relative energy among the computed polymorphs**: 0.000 eV/atom

***

The following is a PBE calculation of GeSe2N2 after structural relaxation, from Alexandria via LeMat-Bulk.

Lattice parameters (Å, degrees): 5.1883 5.1883 3.5849 90.00 90.00 90.00
With the nearest neighbours (Å) after each atom.
Atoms (fractional coordinates):
Ge  0.0000  0.0000  0.0000  2 N 1.79
Se  0.0000  0.5000  0.0000  2 Ge 2.59
Se  0.5000  0.0000  0.0000  2 Ge 2.59
N  0.0000  0.0000  0.5000  2 Ge 1.79
N  0.5000  0.5000  0.5000  8 Se 3.15

Calculated values
**Relative energy among the computed polymorphs**: 1.886 eV/atom

***

The following is a PBE calculation of Ba3Os5 after structural relaxation, from Alexandria via LeMat-Bulk.

Lattice parameters (Å, degrees): 6.2864 6.2864 4.6875 90.00 90.00 101.82
With the nearest neighbours (Å) after each atom.
Atoms (fractional coordinates):
Ba  0.0000  0.0000  0.0000  4 Os 3.14, 4 Ba 3.18
Ba  0.2204  0.7796  0.5000  6 Os 3.00-3.08, 2 Ba 3.18
Ba  0.7796  0.2204  0.5000  6 Os 3.00-3.08, 2 Ba 3.18
Os  0.0000  0.5000  0.0000  6 Ba 3.08-3.14, 2 Os 3.14
Os  0.3413  0.3413  0.5000  3 Os 2.52-2.66
Os  0.5000  0.0000  0.0000  6 Ba 3.08-3.14, 2 Os 3.14
Os  0.5000  0.5000  0.0000  4 Os 2.66
Os  0.6587  0.6587  0.5000  3 Os 2.52-2.66

Calculated values
**Energy of formation from the pure elements**: 1164 kJ/mol of formula units